A relaxed Rb2AgWF6 crystal, computed with PBE with a Hubbard U.

Output
Spin magnetization: 3.0 Bohr magnetons per cell
Total DFT energy (no corrections): -47.1 eV for the cell shown

Cell: 6.4383 6.4383 6.4383 Å, 119.96 119.96 90.06°
With the nearest neighbours (Å) after each atom.
Fractional coordinates of all 10 atoms:
1 Rb 0.2500 0.7500 0.5000  12 F 3.22-3.23
2 Rb 0.7500 0.2500 0.5000  12 F 3.22-3.23
3 Ag 0.0000 0.0000 0.0000  6 F 2.44
4 W 0.5000 0.5000 0.0000  6 F 2.11-2.12
5 F 0.2678 0.2678 0.0000  1 W 2.11
6 F 0.2677 0.2677 0.5355  1 W 2.12
7 F 0.2677 0.7323 0.0000  1 W 2.12
8 F 0.7323 0.2677 0.0000  1 W 2.12
9 F 0.7322 0.7322 0.0000  1 W 2.11
10 F 0.7323 0.7323 0.4645  1 W 2.12